[1]
Density functional theory data (GGA-PBE) for a geometry-optimized CaGeTe2O8 structure.

Computed properties:
- energy (eV/atom) = -5.764
- uncorrected formation energy (eV per atom) = -1.38
- total moment (Bohr magnetons per cell) = 0.0
- DOS at the Fermi energy (states/eV/f.u.) = 0.6

Geometry as extended XYZ:
```
12
Lattice="-0.7005 -3.7901 -2.8807 4.6135 -1.3527 0.1665 -1.3024 -3.7894 5.3024" Properties=species:S:1:pos:R:3 pbc="T T T"
Ca -0.6512 -1.8947 2.6512
Ge 0.0000 0.0000 0.0000
Te 0.9689 -5.4449 2.6638
Te 1.6417 -3.4873 -0.0756
O 3.3107 -2.6249 0.7042
O 1.4271 -7.3734 3.4114
O 0.0496 -4.1252 -1.1690
O -0.7001 -6.3073 1.8840
O 1.1835 -1.5588 -0.8232
O 2.5610 -4.8070 3.7572
O 1.9812 -5.3517 0.8273
O 0.6294 -3.5805 1.7609
```


[2]
Density functional theory data (GGA-PBE) for a geometry-optimized CaTiGe2O6 structure.

Computed properties:
- energy (eV/atom) = -7.201
- uncorrected formation energy (eV per atom) = -2.31
- total moment (Bohr magnetons per cell) = 0.0
- DOS at the Fermi energy (states/eV/f.u.) = 0.0

Geometry as extended XYZ:
```
40
Lattice="8.7689 0.0000 0.0000 0.0000 5.4167 0.2159 0.0000 3.1671 12.2073" Properties=species:S:1:pos:R:3 pbc="T T T"
Ca 3.7402 3.7089 3.4065
Ca 8.1246 7.5832 9.1246
Ca 5.0287 4.8749 9.0166
Ca 0.6443 1.0006 3.2986
Ti 5.7786 0.9360 3.4571
Ti 1.3941 4.9394 8.8581
Ti 2.9903 7.6478 8.9660
Ti 7.3747 3.6444 3.5650
Ge 3.1710 1.3630 1.0337
Ge 7.5554 4.5125 11.2815
Ge 5.5979 7.2208 11.3894
Ge 1.2135 4.0713 1.1417
Ge 3.0895 5.8949 5.9054
Ge 7.4739 5.3972 6.6257
Ge 5.6794 2.6889 6.5177
Ge 1.2950 3.1866 5.7975
O 1.9490 4.7242 5.0991
O 6.3334 6.5680 7.4319
O 6.8199 3.8597 7.3240
O 2.4355 2.0158 4.9912
O 2.4189 5.2617 2.1330
O 6.8034 6.0304 10.3980
O 6.3500 3.3221 10.2901
O 1.9655 2.5534 2.0251
O 8.5774 2.7866 4.9933
O 4.1929 3.0888 7.3219
O 0.1915 5.7972 7.4298
O 4.5760 5.4950 5.1013
O 8.6894 4.3783 2.5811
O 4.3050 6.9138 9.9499
O 0.0795 4.2055 9.8420
O 4.4639 1.6700 2.4732
O 2.8707 3.9059 9.5388
O 7.2551 1.9696 2.7764
O 5.8982 4.6779 2.8843
O 1.5138 6.6142 9.6467
O 3.0592 5.9019 7.6469
O 7.4436 5.3903 4.8842
O 5.7097 2.6819 4.7762
O 1.3253 3.1936 7.5390
```


[3]
Density functional theory data (GGA-PBE) for a geometry-optimized Ca2TiGeO6 structure.

Computed properties:
- energy (eV/atom) = -7.269
- uncorrected formation energy (eV per atom) = -2.64
- total moment (Bohr magnetons per cell) = 0.0
- DOS at the Fermi energy (states/eV/f.u.) = 0.0

Geometry as extended XYZ:
```
10
Lattice="-0.4084 0.6774 -3.7833 -4.3700 -3.1770 -0.0971 -3.1268 4.2673 1.1015" Properties=species:S:1:pos:R:3 pbc="T T T"
Ca -2.2429 -1.4925 -0.5845
Ca -1.6212 2.2296 0.0149
Ti -4.0110 0.9808 -1.9308
Ge -0.2632 0.4365 -2.4382
O -2.1057 0.7056 -2.1982
O -3.6961 2.8761 -1.6379
O -3.8078 0.6436 -0.0479
O -0.0594 0.0986 -0.5506
O -5.9189 1.2602 -1.6873
O -4.3285 -0.9103 -2.2476
```


[4]
Density functional theory data (GGA-PBE) for a geometry-optimized CaTiGeO5 structure.

Computed properties:
- energy (eV/atom) = -7.525
- uncorrected formation energy (eV per atom) = -2.61
- total moment (Bohr magnetons per cell) = 0.0
- DOS at the Fermi energy (states/eV/f.u.) = 0.0

Geometry as extended XYZ:
```
16
Lattice="5.6187 0.0176 0.0035 -1.5562 5.3989 0.0035 1.7633 2.3510 6.6042" Properties=species:S:1:pos:R:3 pbc="T T T"
Ca 5.6767 2.7292 4.9566
Ca 0.1491 5.0383 1.6545
Ti 2.0312 2.7082 0.0035
Ti 2.9129 3.8837 3.3056
Ge 4.7627 1.5779 1.6545
Ge 1.0631 6.1895 4.9566
O 2.0035 3.6474 1.6545
O 3.8223 4.1201 4.9566
O 3.6265 5.6642 2.7688
O 0.5218 1.5247 0.5403
O 2.1993 2.1033 3.8424
O 5.3040 6.2428 6.0709
O 2.5226 6.5016 5.9165
O 1.1722 4.7010 3.9967
O 3.3032 1.2659 0.6946
O 4.6536 3.0665 2.6144
```


[5]
Density functional theory data (GGA-PBE) for a geometry-optimized CaTiGe2O6 structure.

Computed properties:
- energy (eV/atom) = -7.116
- uncorrected formation energy (eV per atom) = -2.23
- total moment (Bohr magnetons per cell) = 0.0
- DOS at the Fermi energy (states/eV/f.u.) = 0.0

Geometry as extended XYZ:
```
20
Lattice="-2.5116 -6.0313 2.5843 5.2758 -4.4992 -1.1343 2.2944 -0.0198 4.7968" Properties=species:S:1:pos:R:3 pbc="T T T"
Ca 4.3852 -5.0278 3.7103
Ca 0.6735 -5.5225 2.5365
Ti -0.0261 -5.8958 5.8168
Ti 5.0848 -4.6545 0.4300
Ge 1.7512 -3.1340 4.9946
Ge 2.4805 -7.8146 4.5933
Ge 3.3075 -7.4163 1.2522
Ge 2.5782 -2.7357 1.6535
O 2.4562 -3.6346 3.2799
O 4.0259 -6.8713 5.2335
O 2.6025 -6.9157 2.9669
O 1.0328 -3.6790 1.0133
O 3.4805 -3.7613 0.2975
O 4.5335 -5.9719 1.5919
O 1.5782 -6.7890 5.9493
O 0.5252 -4.5784 4.6549
O 1.6599 -1.2505 4.7277
O 3.2140 -9.5718 4.5536
O 3.3988 -9.2998 1.5191
O 1.8447 -0.9785 1.6932
```


[6]
Density functional theory data (GGA-PBE) for a geometry-optimized Ca4ZrTi3Ge4O20 structure.

Computed properties:
- energy (eV/atom) = -7.567
- uncorrected formation energy (eV per atom) = -2.63
- total moment (Bohr magnetons per cell) = 0.0
- DOS at the Fermi energy (states/eV/f.u.) = 0.0

Geometry as extended XYZ:
```
32
Lattice="-2.0290 -4.6144 -4.5163 6.6350 1.1264 -4.5990 5.8349 -5.1990 1.8280" Properties=species:S:1:pos:R:3 pbc="T T T"
Ca 3.0090 -5.5403 -2.8486
Ca 4.5667 -0.0951 -3.6715
Ca 5.8742 -8.5919 -3.6157
Ca 7.4320 -3.1467 -4.4386
Zr -1.0145 -2.3072 -2.2581
Ti 6.2350 -2.0363 -1.3855
Ti 7.7973 -6.4797 -5.4851
Ti 2.6436 -2.2073 -1.8021
Ge 6.2626 -4.6024 -7.7455
Ge 6.9209 -5.4029 -2.2676
Ge 3.5200 -3.2841 -5.0196
Ge 4.1783 -4.0846 0.4583
O 4.8636 -2.1411 -5.0967
O 3.5238 -7.5843 -4.2037
O 7.3353 -4.6853 -6.3268
O 8.0368 -5.5961 -0.8865
O 6.9171 -1.1027 -3.0835
O 5.5773 -6.5459 -2.1905
O 2.4041 -3.0909 -6.4007
O 3.1056 -4.0017 -0.9604
O 7.9348 -5.5221 -3.7211
O 0.7481 -5.8842 -4.5290
O 11.4263 -4.5951 -3.9051
O 4.1334 -4.9392 -4.8936
O 9.6928 -2.8028 -2.7583
O 2.5061 -3.1649 -3.5661
O 6.3075 -3.7478 -2.3936
O -0.9853 -4.0919 -3.3821
O 5.9641 -6.9382 -5.2261
O 0.8584 -2.6471 -1.4678
O 9.5825 -6.0399 -5.8194
O 4.4768 -1.7488 -2.0611
```


[7]
Density functional theory data (GGA-PBE) for a geometry-optimized Ca2TlGeO structure.

Computed properties:
- energy (eV/atom) = -3.207
- uncorrected formation energy (eV per atom) = -0.02
- total moment (Bohr magnetons per cell) = 0.0
- DOS at the Fermi energy (states/eV/f.u.) = 1.5

Geometry as extended XYZ:
```
5
Lattice="5.6285 0.0000 0.0000 0.0000 5.1056 0.0000 0.0000 0.0000 5.6285" Properties=species:S:1:pos:R:3 pbc="T T T"
Tl 0.0000 2.5528 0.0000
Ca 0.0000 0.0000 2.8143
Ca 2.8143 0.0000 0.0000
Ge 0.0000 0.0000 0.0000
O 2.8143 2.5528 2.8143
```


[8]
Density functional theory data (GGA-PBE) for a geometry-optimized CaTl3Ge2O6 structure.

Computed properties:
- energy (eV/atom) = -5.358
- uncorrected formation energy (eV per atom) = -1.35
- total moment (Bohr magnetons per cell) = 0.0
- DOS at the Fermi energy (states/eV/f.u.) = 4.6

Geometry as extended XYZ:
```
12
Lattice="6.1436 0.0000 0.0000 -3.0718 5.3205 0.0000 0.0000 0.0000 7.2810" Properties=species:S:1:pos:R:3 pbc="T T T"
Ca 0.0000 0.0000 3.6405
Tl 0.0000 3.5470 5.5853
Tl 3.0718 1.7735 1.6957
Tl 0.0000 0.0000 0.0000
Ge 3.0718 1.7735 4.8616
Ge 0.0000 3.5470 2.4193
O 1.4830 4.4032 2.1444
O 0.0000 1.8346 2.1444
O -1.4830 4.4032 2.1444
O 3.0718 3.4859 5.1366
O 1.5888 0.9173 5.1366
O 4.5548 0.9173 5.1366
```